The following is a GGA-PBE calculation of a relaxed structure of AlW3, from the Alexandria database.

Lattice parameters (Å, degrees): 6.2899 8.8967 4.5088 90.00 90.00 90.00
Space group Cmcm (No. 63)
Symmetry-distinct sites (fractional):
Al (0.0000, 0.1354, 0.2500)
W (0.0000, 0.3649, 0.7500)
W (0.2503, 0.1129, 0.7500)

---

The following is a GGA-PBE calculation of a relaxed structure of AlW, from the Alexandria database.

Lattice parameters (Å, degrees): 4.7407 4.5711 5.7288 90.00 90.00 90.00
Space group Pnma (No. 62)
Symmetry-distinct sites (fractional):
Al (0.0726, 0.2500, 0.1236)
W (0.0518, 0.2500, 0.6240)

---

The following is a GGA-PBE calculation of a relaxed structure of AlW2, from the Alexandria database.

Lattice parameters (Å, degrees): 5.4518 4.4250 7.8811 90.00 90.00 90.00
Space group Pnma (No. 62)
Symmetry-distinct sites (fractional):
Al (0.1655, 0.2500, 0.0699)
W (0.0318, 0.2500, 0.7310)
W (0.1650, 0.2500, 0.4059)

---

The following is a GGA-PBE calculation of a relaxed structure of AlW, from the Alexandria database.

Lattice parameters (Å, degrees): 10.3111 2.7762 6.7473 90.00 103.83 90.00
Space group Cm (No. 8)
Symmetry-distinct sites (fractional):
Al (0.0000, 0.0000, 0.0000)
Al (0.0695, 0.0000, 0.6244)
Al (0.1760, 0.5000, 0.3436)
W (0.2251, 0.5000, 0.9624)
W (0.3420, 0.0000, 0.6601)
W (0.4022, 0.0000, 0.2948)

---

The following is a GGA-PBE calculation of a relaxed structure of AlW3, from the Alexandria database.

Lattice parameters (Å, degrees): 8.9241 6.3107 4.4866 90.00 90.00 90.00
Space group Cmcm (No. 63)
Symmetry-distinct sites (fractional):
Al (0.0000, 0.1279, 0.2500)
W (0.0000, 0.3807, 0.7500)
W (0.2445, 0.1305, 0.7500)

---

The following is a GGA-PBE calculation of a relaxed structure of Al3W, from the Alexandria database.

Lattice parameters (Å, degrees): 4.6557 5.3119 4.9422 90.00 90.00 90.00
Space group Pmmn (No. 59, origin choice 2)
Symmetry-distinct sites (fractional):
Al (0.2500, 0.0008, 0.1503)
Al (0.2500, 0.7500, 0.6465)
W (0.2500, 0.2500, 0.6487)

---

The following is a GGA-PBE calculation of a relaxed structure of AlW, from the Alexandria database.

Lattice parameters (Å, degrees): 8.1404 8.1404 8.1404 90.00 90.00 90.00
Space group I-43m (No. 217)
Symmetry-distinct sites (fractional):
Al (0.2037, 0.2037, 0.2037)
W (0.1099, 0.1099, 0.8901)

---

The following is a GGA-PBE calculation of a relaxed structure of AlW3, from the Alexandria database.

Lattice parameters (Å, degrees): 4.3988 4.3988 3.2555 90.00 90.00 90.00
Space group P4/mmm (No. 123)
Symmetry-distinct sites (fractional):
Al (0.0000, 0.0000, 0.0000)
W (0.0000, 0.5000, 0.5000)
W (0.5000, 0.5000, 0.0000)

---

The following is a GGA-PBE calculation of a relaxed structure of AlW, from the Alexandria database.

Lattice parameters (Å, degrees): 9.2951 2.7603 4.8925 90.00 98.38 90.00
Space group C2/m (No. 12)
Symmetry-distinct sites (fractional):
Al (0.1258, 0.0000, 0.3754)
W (0.1225, 0.5000, 0.8667)

---

The following is a GGA-PBE calculation of a relaxed structure of AlW3, from the Alexandria database.

Lattice parameters (Å, degrees): 2.7151 2.7151 8.6539 90.00 90.00 90.00
Space group P4/mmm (No. 123)
Symmetry-distinct sites (fractional):
Al (0.0000, 0.0000, 0.0000)
W (0.0000, 0.0000, 0.5000)
W (0.5000, 0.5000, 0.2384)

---

The following is a GGA-PBE calculation of a relaxed structure of AlW2, from the Alexandria database.

Lattice parameters (Å, degrees): 5.9630 5.9630 5.9630 90.00 90.00 90.00
Space group Pa-3 (No. 205)
Symmetry-distinct sites (fractional):
Al (0.0000, 0.0000, 0.0000)
W (0.1256, 0.6256, 0.8744)

---

The following is a GGA-PBE calculation of a relaxed structure of AlW2, from the Alexandria database.

Lattice parameters (Å, degrees): 4.5248 4.5248 5.2801 90.00 90.00 120.00
Space group P6_3/mmc (No. 194)
Symmetry-distinct sites (fractional):
Al (0.3333, 0.6667, 0.2500)
W (0.0000, 0.0000, 0.0000)
W (0.3333, 0.6667, 0.7500)

---

The following is a GGA-PBE calculation of a relaxed structure of AlW, from the Alexandria database.

Lattice parameters (Å, degrees): 4.4279 4.4279 4.9863 90.00 90.00 120.00
Space group P6_3/mmc (No. 194)
Symmetry-distinct sites (fractional):
Al (0.3333, 0.6667, 0.2500)
W (0.3333, 0.6667, 0.7500)

---

The following is a GGA-PBE calculation of a relaxed structure of AlW3, from the Alexandria database.

Lattice parameters (Å, degrees): 3.9896 3.9896 3.9896 90.00 90.00 90.00
Space group Pm-3m (No. 221)
Symmetry-distinct sites (fractional):
Al (0.0000, 0.0000, 0.0000)
W (0.0000, 0.5000, 0.5000)

---

The following is a GGA-PBE calculation of a relaxed structure of AlW3, from the Alexandria database.

Lattice parameters (Å, degrees): 2.6878 4.3642 5.4534 90.00 90.00 90.00
Space group Pmmm (No. 47)
Symmetry-distinct sites (fractional):
Al (0.0000, 0.0000, 0.0000)
W (0.0000, 0.0000, 0.5000)
W (0.5000, 0.5000, 0.2423)

---

The following is a GGA-PBE calculation of a relaxed structure of AlW, from the Alexandria database.

Lattice parameters (Å, degrees): 3.2900 4.3824 4.2835 90.00 90.00 90.00
Space group Cmmm (No. 65)
Symmetry-distinct sites (fractional):
Al (0.0000, 0.0000, 0.0000)
W (0.0000, 0.5000, 0.5000)

---

The following is a GGA-PBE calculation of a relaxed structure of Al3W, from the Alexandria database.

Lattice parameters (Å, degrees): 3.3969 3.3969 5.4480 90.00 90.00 90.00
Space group P4/mmm (No. 123)
Symmetry-distinct sites (fractional):
Al (0.0000, 0.0000, 0.0000)
Al (0.5000, 0.5000, 0.2594)
W (0.0000, 0.0000, 0.5000)

---

The following is a GGA-PBE calculation of a relaxed structure of Al12W, from the Alexandria database.

Lattice parameters (Å, degrees): 7.5909 7.5909 7.5909 90.00 90.00 90.00
Space group Im-3 (No. 204)
Symmetry-distinct sites (fractional):
Al (0.0000, 0.3073, 0.1872)
W (0.0000, 0.0000, 0.0000)

---

The following is a GGA-PBE calculation of a relaxed structure of AlW, from the Alexandria database.

Lattice parameters (Å, degrees): 6.2548 6.2548 6.2548 90.00 90.00 90.00
Space group Fd-3m (No. 227, origin choice 2)
Symmetry-distinct sites (fractional):
Al (0.1250, 0.1250, 0.1250)
W (0.1250, 0.1250, 0.6250)

---

The following is a GGA-PBE calculation of a relaxed structure of Al2W, from the Alexandria database.

Lattice parameters (Å, degrees): 4.9950 4.3709 8.3801 90.00 90.00 90.00
Space group Pnma (No. 62)
Symmetry-distinct sites (fractional):
Al (0.1511, 0.2500, 0.0217)
Al (0.1567, 0.2500, 0.6826)
W (0.1438, 0.2500, 0.3538)

---

Calculated total energy, respectively: -10.53; -8.39; -9.78; -8.28; -10.65; -6.12; -6.76; -10.51; -8.30; -10.42; -8.59; -9.64; -6.95; -10.47; -10.47; -8.34; -6.10; -4.53; -8.39; -6.89 eV/atom.
Energy of formation from the pure elements, respectively: 0.1170; -0.0386; 0.1040; 0.0646; -0.0032; -0.0783; 1.5896; 0.1382; 0.0467; 0.2263; 1.2974; 0.2441; 1.3991; 0.1785; 0.1756; 0.0030; -0.0591; -0.0778; -0.0464; -0.0725 eV/atom.